The following is a DFT calculation (meta-GGA SCAN) of KCa3Nb at its PBEsol-relaxed geometry.

Cell: 5.4378 5.4378 5.4378 Å, 90.00 90.00 90.00°
Fractional positions:
Nb (0.5000, 0.5000, 0.5000)
Ca (0.5000, 0.0000, 0.0000)
Ca (0.0000, 0.5000, 0.0000)
K (0.0000, 0.0000, 0.0000)
Ca (0.0000, 0.0000, 0.5000)

Results
- Energy of formation from the pure elements: 1.536 eV/atom
- SG: No. 221

***

The following is a DFT calculation (meta-GGA SCAN) of KCa2NbOs at its PBEsol-relaxed geometry.

Cell: 4.7752 4.8020 4.8020 Å, 90.00 90.00 90.00°
Fractional positions:
Ca (0.0000, 0.0000, 0.5000)
Ca (0.0000, 0.5000, 0.0000)
K (0.0000, 0.0000, 0.0000)
Os (0.5000, 0.5000, 0.5000)
Nb (0.5000, 0.0000, 0.0000)

Results
- Energy of formation from the pure elements: 2.288 eV/atom
- SG: No. 123

***

The following is a DFT calculation (meta-GGA SCAN) of KCaNi3 at its PBEsol-relaxed geometry.

Cell: 4.8226 4.8226 4.8226 Å, 90.00 90.00 90.00°
Fractional positions:
Ni (0.0000, 0.0000, 0.5000)
Ni (0.0000, 0.5000, 0.0000)
Ca (0.0000, 0.0000, 0.0000)
K (0.5000, 0.5000, 0.5000)
Ni (0.5000, 0.0000, 0.0000)

Results
- Energy of formation from the pure elements: 1.418 eV/atom
- SG: No. 221

***

The following is a DFT calculation (meta-GGA SCAN) of K2CaNi at its PBEsol-relaxed geometry.

Cell: 4.6456 4.6456 5.9034 Å, 90.00 90.00 90.00°
Fractional positions:
K (0.5000, 0.0000, 0.0000)
K (0.0000, 0.5000, 0.0000)
Ca (0.0000, 0.0000, 0.5000)
Ni (0.5000, 0.5000, 0.5000)

Results
- Energy of formation from the pure elements: 0.645 eV/atom
- SG: No. 123

***

The following is a DFT calculation (meta-GGA SCAN) of KCa3Ni at its PBEsol-relaxed geometry.

Cell: 5.6130 5.6130 5.6130 Å, 90.00 90.00 90.00°
Fractional positions:
K (0.5000, 0.5000, 0.5000)
Ni (0.0000, 0.0000, 0.0000)
Ca (0.0000, 0.5000, 0.0000)
Ca (0.0000, 0.0000, 0.5000)
Ca (0.5000, 0.0000, 0.0000)

Results
- Energy of formation from the pure elements: 0.056 eV/atom
- SG: No. 221

***

The following is a DFT calculation (meta-GGA SCAN) of K2CaYNi at its PBEsol-relaxed geometry.

Cell: 6.1542 6.4235 6.4235 Å, 90.00 90.00 90.00°
Fractional positions:
Ca (0.0000, 0.0000, 0.0000)
Ni (0.5000, 0.5000, 0.5000)
K (0.0000, 0.5000, 0.0000)
K (0.0000, 0.0000, 0.5000)
Y (0.5000, 0.0000, 0.0000)

Results
- Energy of formation from the pure elements: 1.562 eV/atom
- SG: No. 123

***

The following is a DFT calculation (meta-GGA SCAN) of KCaZnNi2 at its PBEsol-relaxed geometry.

Cell: 4.7577 4.7577 5.7608 Å, 90.00 90.00 90.00°
Fractional positions:
Zn (0.5000, 0.5000, 0.5000)
Ni (0.0000, 0.5000, 0.0000)
K (0.0000, 0.0000, 0.5000)
Ni (0.5000, 0.0000, 0.0000)
Ca (0.0000, 0.0000, 0.0000)

Results
- Energy of formation from the pure elements: 1.372 eV/atom
- SG: No. 123

***

The following is a DFT calculation (meta-GGA SCAN) of KCa2O at its PBEsol-relaxed geometry.

Cell: 7.3446 7.3446 7.3446 Å, 60.00 60.00 60.00°
Fractional positions:
K (0.5000, 0.5000, 0.5000)
Ca (0.1250, 0.1250, 0.6250)
Ca (0.1250, 0.6250, 0.1250)
O (0.0000, 0.0000, 0.0000)
K (0.7500, 0.7500, 0.7500)
Ca (0.6250, 0.1250, 0.1250)
Ca (0.1250, 0.1250, 0.1250)
O (0.2500, 0.2500, 0.2500)

Results
- SG: No. 227

***

The following is a DFT calculation (meta-GGA SCAN) of KCaPb2O at its PBEsol-relaxed geometry.

Cell: 5.0555 5.0472 5.0472 Å, 90.00 90.00 90.00°
Fractional positions:
O (0.0000, 0.0000, 0.0000)
Ca (0.5000, 0.5000, 0.5000)
Pb (0.0000, 0.5000, 0.0000)
Pb (0.0000, 0.0000, 0.5000)
K (0.5000, 0.0000, 0.0000)

Results
- SG: No. 123

***

The following is a DFT calculation (meta-GGA SCAN) of K2Ca2S3O12 at its PBEsol-relaxed geometry.

Cell: 10.4707 10.4707 10.4707 Å, 90.00 90.00 90.00°
Fractional positions:
K (0.4458, 0.9458, 0.5542)
Ca (0.3277, 0.3277, 0.3277)
S (0.8744, 0.4926, 0.7703)
S (0.3744, 0.0074, 0.2297)
S (0.1256, 0.9926, 0.7297)
O (0.7762, 0.9790, 0.5873)
O (0.7810, 0.5379, 0.6744)
O (0.8128, 0.4824, 0.8979)
O (0.5210, 0.4127, 0.2762)
S (0.9926, 0.7297, 0.1256)
O (0.9824, 0.6021, 0.1872)
Ca (0.4127, 0.0873, 0.9127)
O (0.2762, 0.5210, 0.4127)
O (0.2810, 0.9621, 0.3256)
O (0.0747, 0.8661, 0.7690)
O (0.3256, 0.2810, 0.9621)
Ca (0.6723, 0.8277, 0.1723)
O (0.1744, 0.7190, 0.4621)
O (0.6744, 0.7810, 0.5379)
O (0.5873, 0.7762, 0.9790)
O (0.3979, 0.6872, 0.5176)
O (0.1021, 0.3128, 0.0176)
S (0.7703, 0.8744, 0.4926)
K (0.0542, 0.0542, 0.0542)
O (0.2690, 0.4253, 0.1339)
O (0.4127, 0.2762, 0.5210)
Ca (0.9127, 0.4127, 0.0873)
S (0.4926, 0.7703, 0.8744)
Ca (0.5873, 0.5873, 0.5873)
S (0.2297, 0.3744, 0.0074)
S (0.5074, 0.2703, 0.6256)
O (0.2238, 0.4790, 0.9127)
O (0.7238, 0.0210, 0.0873)
O (0.4253, 0.1339, 0.2690)
Ca (0.8277, 0.1723, 0.6723)
K (0.1871, 0.3129, 0.6871)
O (0.7690, 0.0747, 0.8661)
O (0.4790, 0.9127, 0.2238)
O (0.3661, 0.7310, 0.9253)
O (0.9127, 0.2238, 0.4790)
K (0.8129, 0.8129, 0.8129)
K (0.3129, 0.6871, 0.1871)
O (0.9253, 0.3661, 0.7310)
Ca (0.1723, 0.6723, 0.8277)
O (0.3128, 0.0176, 0.1021)
Ca (0.0873, 0.9127, 0.4127)
O (0.0379, 0.8256, 0.2190)
O (0.1872, 0.9824, 0.6021)
O (0.6339, 0.2310, 0.5747)
O (0.0873, 0.7238, 0.0210)
O (0.8661, 0.7690, 0.0747)
K (0.6871, 0.1871, 0.3129)
O (0.4824, 0.8979, 0.8128)
S (0.7297, 0.1256, 0.9926)
O (0.6021, 0.1872, 0.9824)
O (0.9621, 0.3256, 0.2810)
O (0.7190, 0.4621, 0.1744)
O (0.6872, 0.5176, 0.3979)
S (0.0074, 0.2297, 0.3744)
O (0.9790, 0.5873, 0.7762)
O (0.2310, 0.5747, 0.6339)
O (0.0176, 0.1021, 0.3128)
O (0.0210, 0.0873, 0.7238)
O (0.1339, 0.2690, 0.4253)
S (0.6256, 0.5074, 0.2703)
K (0.9458, 0.5542, 0.4458)
O (0.4621, 0.1744, 0.7190)
O (0.2190, 0.0379, 0.8256)
S (0.2703, 0.6256, 0.5074)
K (0.5542, 0.4458, 0.9458)
O (0.8979, 0.8128, 0.4824)
O (0.8256, 0.2190, 0.0379)
O (0.7310, 0.9253, 0.3661)
O (0.5747, 0.6339, 0.2310)
O (0.5379, 0.6744, 0.7810)
O (0.5176, 0.3979, 0.6872)

Results
- SG: No. 198

***

The following is a DFT calculation (meta-GGA SCAN) of K2Ca5S6O25 at its PBEsol-relaxed geometry.

Cell: 6.8675 9.3513 17.1082 Å, 80.53 78.42 68.46°
Fractional positions:
Ca (0.9049, 0.6403, 0.7937)
O (0.8019, 0.2700, 0.9294)
O (0.9795, 0.8796, 0.7130)
O (0.5903, 0.5768, 0.1627)
O (0.9988, 0.7700, 0.4294)
S (0.2207, 0.1461, 0.5857)
K (0.1784, 0.4515, 0.4115)
Ca (0.0951, 0.3597, 0.2063)
O (0.4752, 0.8899, 0.1227)
K (0.8216, 0.5485, 0.5885)
S (0.4763, 0.9664, 0.8821)
Ca (0.6610, 0.1403, 0.2937)
O (0.7697, 0.8577, 0.3273)
O (0.5248, 0.1101, 0.8773)
O (0.6386, 0.0163, 0.1863)
Ca (0.6237, 0.7500, 0.2500)
S (0.6753, 0.4664, 0.3821)
O (0.8813, 0.7217, 0.0344)
O (0.2780, 0.7500, 0.2500)
O (0.5858, 0.4119, 0.0717)
O (0.0012, 0.2300, 0.5706)
K (0.0415, 0.0485, 0.0885)
O (0.4097, 0.4232, 0.8373)
S (0.5985, 0.4185, 0.1559)
O (0.2303, 0.1423, 0.6727)
O (0.5122, 0.3899, 0.6227)
O (0.4878, 0.6101, 0.3773)
O (0.8451, 0.5204, 0.9285)
Ca (0.5642, 0.6854, 0.0184)
O (0.3626, 0.2217, 0.5344)
O (0.3222, 0.1685, 0.1232)
O (0.8412, 0.4837, 0.3137)
S (0.9525, 0.3539, 0.9143)
O (0.1981, 0.7300, 0.0706)
O (0.7220, 0.2500, 0.7500)
O (0.3450, 0.9383, 0.9585)
S (0.3247, 0.5336, 0.6179)
O (0.1187, 0.2783, 0.9656)
O (0.6702, 0.0768, 0.6627)
S (0.0475, 0.6461, 0.0857)
S (0.4015, 0.5815, 0.8441)
Ca (0.3390, 0.8597, 0.7063)
O (0.0205, 0.1204, 0.2870)
O (0.9546, 0.6423, 0.1727)
O (0.8025, 0.3025, 0.1781)
S (0.8270, 0.9185, 0.6559)
S (0.5237, 0.0336, 0.1179)
S (0.1730, 0.0815, 0.3441)
O (0.2418, 0.5617, 0.5415)
Ca (0.4358, 0.3146, 0.9816)
O (0.7060, 0.0204, 0.4285)
O (0.1975, 0.6975, 0.8219)
Ca (0.3763, 0.2500, 0.7500)
O (0.5722, 0.6204, 0.7870)
K (0.9585, 0.9515, 0.9115)
O (0.6140, 0.3315, 0.3768)
O (0.1549, 0.4796, 0.0715)
O (0.2831, 0.1975, 0.3219)
O (0.0454, 0.3577, 0.8273)
O (0.0693, 0.0881, 0.4283)
O (0.6778, 0.8315, 0.8768)
O (0.6374, 0.7783, 0.4656)
S (0.7793, 0.8539, 0.4143)
O (0.7169, 0.8025, 0.6781)
O (0.4278, 0.3796, 0.2130)
O (0.6550, 0.0617, 0.0415)
O (0.2940, 0.9796, 0.5715)
O (0.3614, 0.9837, 0.8137)
O (0.7582, 0.4383, 0.4585)
O (0.4142, 0.5881, 0.9283)
Ca (0.2680, 0.8146, 0.4816)
O (0.1588, 0.5163, 0.6863)
O (0.3298, 0.9232, 0.3373)
O (0.9307, 0.9119, 0.5717)
Ca (0.7320, 0.1854, 0.5184)
O (0.3860, 0.6685, 0.6232)

Results
- SG: No. 15

***

The following is a DFT calculation (meta-GGA SCAN) of K4CaU3O12 at its PBEsol-relaxed geometry.

Cell: 7.4195 7.4195 7.4195 Å, 109.47 109.47 109.47°
Fractional positions:
O (0.7279, 0.7279, 0.0000)
O (0.7279, 0.0000, 0.7279)
U (0.5000, 0.0000, 0.5000)
U (0.0000, 0.5000, 0.5000)
O (0.2721, 0.2721, 0.0000)
O (0.0000, 0.7279, 0.7279)
K (0.0000, 0.0000, 0.5000)
O (0.5000, 0.7500, 0.2500)
K (0.0000, 0.5000, 0.0000)
O (0.2500, 0.5000, 0.7500)
O (0.2721, 0.0000, 0.2721)
O (0.0000, 0.2721, 0.2721)
Ca (0.0000, 0.0000, 0.0000)
O (0.7500, 0.2500, 0.5000)
K (0.5000, 0.0000, 0.0000)
U (0.5000, 0.5000, 0.0000)
K (0.5000, 0.5000, 0.5000)
O (0.7500, 0.5000, 0.2500)
O (0.2500, 0.7500, 0.5000)
O (0.5000, 0.2500, 0.7500)

Results
- SG: No. 229

***

no.,total energy (eV/atom)
1,-12.554
2,-24.245
3,-11.885
4,-9.979
5,-10.643
6,-12.505
7,-11.399
8,-9.841
9,-35.724
10,-9.685
11,-9.615
12,-24.491